A plane-wave DFT calculation with PBE was carried out for a geometry-optimized CsLiNpSe3 structure.

a b c (Å): 4.2824 9.5846 10.0811
angles (deg): 110.83 90.00 90.00
Last column: nearest neighbours and their distance in Å.
Element x y z (fractional)
Np 0.7500 0.3222 0.8488  6 Se 2.75-2.88
Np 0.2500 0.6778 0.1512  6 Se 2.75-2.88
Se 0.2500 0.5233 0.8507  3 Np 2.86-2.88
Se 0.2500 0.7977 0.4433  3 Li 2.55-2.60, 1 Np 2.75
Se 0.2500 0.1359 0.8673  1 Li 2.57, 2 Np 2.84
Se 0.7500 0.2023 0.5567  3 Li 2.55-2.60, 1 Np 2.75
Se 0.7500 0.4767 0.1493  3 Np 2.86-2.88
Se 0.7500 0.8641 0.1327  1 Li 2.57, 2 Np 2.84
Li 0.2500 0.0798 0.5987  4 Se 2.55-2.60
Li 0.7500 0.9202 0.4013  4 Se 2.55-2.60
Cs 0.2500 0.2165 0.2604  7 Se 3.72-3.82, 1 Li 4.07
Cs 0.7500 0.7835 0.7396  7 Se 3.72-3.82, 1 Li 4.07

- spin magnetization (Bohr magnetons per cell) = 6.0
- formation energy (no corrections) (eV per atom) = -1.244